<one>
A plane-wave DFT calculation with PBE was carried out for a relaxed structure of AcCeH.

Cell lengths 3.544, 3.544, 6.828 Å; angles 105.04, 105.04, 90.00 degrees
Last column: magnetic moment on the atom in μB.
Fractional coordinates of all 3 atoms:
1 H 0.225 0.225 0.450  -0.01
2 Ac 0.026 0.026 0.053  0.01
3 Ce 0.748 0.748 0.497  1.09

---

<two>
A plane-wave DFT calculation with PBE was carried out for a relaxed structure of AcCeH.

Cell lengths 3.781, 3.781, 6.173 Å; angles 90.00, 90.00, 120.00 degrees
Last column: magnetic moment on the atom in μB.
Fractional coordinates of all 3 atoms:
1 H 0.333 0.667 0.639  0.00
2 Ac 0.000 0.000 0.925  0.04
3 Ce 0.667 0.333 0.436  0.87

---

Of them, <two> has the highest stability.

---

<one>
A plane-wave DFT calculation with PBE was carried out for a relaxed structure of AcCe2Hf.

Cell lengths 3.404, 3.404, 12.321 Å; angles 82.06, 82.06, 60.00 degrees
Last column: magnetic moment on the atom in μB.
Fractional coordinates of all 4 atoms:
1 Ac 0.000 0.000 0.000  -0.01
2 Hf 0.500 0.500 0.500  -0.01
3 Ce 0.094 0.094 0.719  0.56
4 Ce 0.906 0.906 0.281  0.56

---

<two>
A plane-wave DFT calculation with PBE was carried out for a relaxed structure of AcCe2Hf.

Cell lengths 3.472, 3.472, 10.045 Å; angles 90.00, 90.00, 90.00 degrees
Last column: magnetic moment on the atom in μB.
Fractional coordinates of all 4 atoms:
1 Ac 0.500 0.500 0.500  0.04
2 Hf 0.500 0.500 0.000  0.01
3 Ce 0.000 0.000 0.777  0.44
4 Ce 0.000 0.000 0.223  0.44

---

Of them, <two> has the highest stability.

---

<one>
A plane-wave DFT calculation with PBE was carried out for a relaxed structure of Ac2CeHg3.

Cell lengths 6.723, 6.932, 9.035 Å; angles 103.48, 111.84, 90.00 degrees
Last column: magnetic moment on the atom in μB.
Fractional coordinates of all 12 atoms:
1 Ac 0.551 0.596 0.337  0.00
2 Ac 0.786 0.096 0.337  0.00
3 Ac 0.214 0.904 0.663  0.00
4 Ac 0.449 0.404 0.663  0.00
5 Ce 0.899 0.750 0.000  0.92
6 Ce 0.101 0.250 0.000  0.92
7 Hg 0.606 0.250 0.000  0.01
8 Hg 0.394 0.750 0.000  0.01
9 Hg 0.280 0.045 0.312  0.00
10 Hg 0.968 0.455 0.688  0.00
11 Hg 0.032 0.545 0.312  0.00
12 Hg 0.720 0.955 0.688  0.00

---

<two>
A plane-wave DFT calculation with PBE was carried out for a relaxed structure of Ac2CeHg3.

Cell lengths 3.970, 3.970, 11.992 Å; angles 90.00, 90.00, 90.00 degrees
Last column: magnetic moment on the atom in μB.
Fractional coordinates of all 6 atoms:
1 Ac 0.500 0.500 0.827  0.10
2 Ac 0.500 0.500 0.173  0.10
3 Ce 0.500 0.500 0.500  1.04
4 Hg 0.000 0.000 0.000  0.01
5 Hg 0.000 0.000 0.651  0.01
6 Hg 0.000 0.000 0.349  0.01

---

Of them, <two> has the highest stability.

---

<one>
A plane-wave DFT calculation with PBE was carried out for a relaxed structure of AcCe2Hg6.

Cell lengths 3.534, 8.873, 8.873 Å; angles 120.00, 90.00, 90.00 degrees
Last column: magnetic moment on the atom in μB.
Fractional coordinates of all 9 atoms:
1 Ac 0.000 0.000 0.000  0.01
2 Ce 0.000 0.333 0.667  1.04
3 Ce 0.000 0.667 0.333  1.04
4 Hg 0.500 0.337 0.337  0.00
5 Hg 0.500 0.663 0.663  0.00
6 Hg 0.500 0.000 0.663  0.00
7 Hg 0.500 0.663 0.000  0.00
8 Hg 0.500 0.337 0.000  0.00
9 Hg 0.500 0.000 0.337  0.00

---

<two>
A plane-wave DFT calculation with PBE was carried out for a relaxed structure of AcCe2Hg6.

Cell lengths 3.742, 9.072, 9.072 Å; angles 57.14, 78.10, 78.10 degrees
Last column: magnetic moment on the atom in μB.
Fractional coordinates of all 9 atoms:
1 Ac 0.500 0.500 0.500  0.04
2 Ce 0.353 0.147 0.147  0.97
3 Ce 0.647 0.853 0.853  0.97
4 Hg 0.174 0.503 0.150  0.01
5 Hg 0.826 0.497 0.850  0.01
6 Hg 0.826 0.850 0.497  0.01
7 Hg 0.000 0.171 0.829  0.01
8 Hg 0.000 0.829 0.171  0.01
9 Hg 0.174 0.150 0.503  0.01

---

Of them, <one> has the highest stability.